Record 1
Here is a geometry-optimized Gd3Cd3Cu2Ag structure from the Open Quantum Materials Database. Energies are from GGA-PBE.

The calculation puts the energy of formation from the pure elements at -0.3020 eV per atom. The space group is No. 189. As for the total energy: -29.6 eV per formula unit.

The structure in extended XYZ format:
```
9
Lattice="-7.401 -0.396 1.406 2.812 -3.056 -6.298 0.549 -3.449 1.919" Properties=species:S:1:pos:R:3 pbc="T T T"
Cu -0.318 -3.894 -2.771
Cu -3.722 -3.007 -0.203
Cd 1.012 -2.527 -0.694
Cd -3.110 -4.270 -2.648
Cd -1.668 -1.828 1.328
Ag 0.000 0.000 0.000
Gd -1.904 -1.432 -2.029
Gd 1.645 -1.788 -3.685
Gd -4.331 -0.232 0.823
```

Record 2
Here is a geometry-optimized BeHgTeO structure from the Open Quantum Materials Database. Energies are from GGA-PBE.

For the energy above the most stable polymorph in this dataset, the calculation gives 19.54 kcal/mol of atoms. The space group is No. 129. As for the total energy: -13.1 eV per formula unit.

The structure in extended XYZ format:
```
8
Lattice="4.531 0.000 0.000 0.000 4.531 0.000 0.000 0.000 7.681" Properties=species:S:1:pos:R:3 pbc="T T T"
Te 3.399 1.133 3.840
Te 1.133 3.399 3.840
Hg 1.133 1.133 1.272
Hg 3.399 3.399 6.409
O 3.399 3.399 0.882
O 1.133 1.133 6.799
Be 3.399 3.399 2.297
Be 1.133 1.133 5.383
```

Record 3
Here is a geometry-optimized Zr2AlCu3 structure from the Open Quantum Materials Database. Energies are from GGA-PBE.

The space group is No. 194. As for the total energy: -33.5 eV per formula unit.

The structure in extended XYZ format:
```
12
Lattice="5.194 0.000 0.000 -2.597 4.498 0.000 0.000 0.000 8.131" Properties=species:S:1:pos:R:3 pbc="T T T"
Cu 3.867 0.766 2.033
Cu -1.270 3.732 6.098
Cu 2.597 2.966 2.033
Cu 1.327 0.766 2.033
Cu 1.270 3.732 6.098
Cu 0.000 1.532 6.098
Al 0.000 0.000 4.066
Al 0.000 0.000 0.000
Zr 2.597 1.499 4.439
Zr 0.000 2.999 3.693
Zr 0.000 2.999 0.373
Zr 2.597 1.499 7.758
```

Record 4
Here is a geometry-optimized Nd2Co2SiC structure from the Open Quantum Materials Database. Energies are from GGA-PBE.

The space group is No. 71. As for the total energy: -41.1 eV per formula unit.

The structure in extended XYZ format:
```
6
Lattice="4.732 2.442 2.133 -1.825 1.850 5.114 0.739 -4.916 -2.862" Properties=species:S:1:pos:R:3 pbc="T T T"
Co 3.062 1.419 3.409
Co 0.584 -2.043 0.976
Si 0.000 0.000 0.000
C 1.453 2.146 3.623
Nd 0.356 -0.206 3.366
Nd 3.290 -0.418 1.018
```

Record 5
Here is a geometry-optimized Zr3Sb4Pt3 structure from the Open Quantum Materials Database. Energies are from GGA-PBE.

The space group is No. 220. As for the total energy: -68.4 eV per formula unit.

The structure in extended XYZ format:
```
20
Lattice="6.693 3.864 2.732 -6.693 3.864 2.732 0.000 -7.728 2.732" Properties=species:S:1:pos:R:3 pbc="T T T"
Pt -1.673 -1.932 4.782
Pt 4.183 3.381 3.415
Pt 2.510 -0.483 4.782
Pt -5.020 1.932 3.415
Pt 0.837 -5.313 3.415
Pt -0.837 2.415 4.782
Sb -1.245 3.145 2.224
Sb 0.000 0.000 5.624
Sb 0.000 0.000 1.525
Sb 2.101 5.077 3.590
Sb 3.346 -4.358 3.590
Sb -5.448 -0.719 3.590
Sb -2.101 -2.651 2.224
Sb 3.346 -0.494 2.224
Zr -4.183 -3.381 4.782
Zr 5.020 -1.932 4.782
Zr 1.673 1.932 3.415
Zr -2.510 0.483 3.415
Zr 0.837 -2.415 3.415
Zr -0.837 5.313 4.782
```

Record 6
Here is a geometry-optimized Mg3WN4 structure from the Open Quantum Materials Database. Energies are from GGA-PBE.

The space group is No. 31. As for the total energy: -58.1 eV per formula unit.

The structure in extended XYZ format:
```
16
Lattice="6.731 0.000 0.000 0.000 5.820 0.000 0.000 0.000 5.258" Properties=species:S:1:pos:R:3 pbc="T T T"
Mg 1.668 0.984 0.055
Mg 5.063 0.984 0.055
Mg 1.698 4.836 2.684
Mg 3.365 3.851 0.058
Mg 0.000 1.969 2.687
Mg 5.033 4.836 2.684
N 1.565 4.796 0.584
N 5.165 4.796 0.584
N 0.000 2.106 0.582
N 1.800 1.024 3.213
N 3.365 3.714 3.211
N 3.365 1.903 0.776
N 4.931 1.024 3.213
N 0.000 3.917 3.405
W 3.365 1.917 2.645
W 0.000 3.903 0.016
```

Record 7
Here is a geometry-optimized BaAcCo structure from the Open Quantum Materials Database. Energies are from GGA-PBE.

For the energy above the most stable polymorph in this dataset, the calculation gives 0.00 kcal/mol of atoms. The space group is No. 216. As for the total energy: -12.1 eV per formula unit.

The structure in extended XYZ format:
```
3
Lattice="-3.076 1.597 3.852 -3.121 4.077 -0.697 -5.126 -0.686 -0.323" Properties=species:S:1:pos:R:3 pbc="T T T"
Co 0.000 0.000 0.000
Ac -2.831 1.247 0.708
Ba -8.492 3.741 2.123
```

Record 8
Here is a geometry-optimized HfP structure from the Open Quantum Materials Database. Energies are from GGA-PBE.

The space group is No. 51. As for the total energy: -16.5 eV per formula unit.

The structure in extended XYZ format:
```
8
Lattice="5.473 0.000 0.000 0.000 4.716 0.000 0.000 0.000 6.649" Properties=species:S:1:pos:R:3 pbc="T T T"
P 1.368 0.000 2.388
P 4.105 2.358 0.987
P 4.105 0.000 4.262
P 1.368 2.358 5.662
Hf 2.736 2.358 3.325
Hf 4.105 0.000 1.589
Hf 0.000 2.358 3.325
Hf 1.368 0.000 5.061
```

Record 9
Here is a geometry-optimized Ho3TmLu2Sb2Os structure from the Open Quantum Materials Database. Energies are from GGA-PBE.

The space group is No. 38. As for the total energy: -52.5 eV per formula unit.

The structure in extended XYZ format:
```
9
Lattice="-1.009 -0.812 3.965 2.643 -7.615 -0.887 5.108 5.786 2.485" Properties=species:S:1:pos:R:3 pbc="T T T"
Sb 3.779 0.916 3.344
Sb 2.957 -3.555 2.218
Tm 4.730 -1.116 0.975
Lu 4.624 -5.366 0.078
Lu 6.132 2.830 2.140
Ho 3.382 3.995 3.873
Ho 1.507 -6.198 1.308
Ho 1.355 -0.845 2.366
Os 0.016 -0.004 0.003
```

Record 10
Here is a geometry-optimized NbGeO3 structure from the Open Quantum Materials Database. Energies are from GGA-PBE.

The space group is No. 167. As for the total energy: -38.1 eV per formula unit.

The structure in extended XYZ format:
```
10
Lattice="-2.424 4.000 -2.473 2.876 4.430 -0.310 1.888 1.035 -4.833" Properties=species:S:1:pos:R:3 pbc="T T T"
Nb 0.000 0.000 0.000
Nb 1.170 4.732 -3.808
O 1.397 6.629 -3.057
O -0.159 5.211 -5.296
O 2.499 4.254 -2.320
O 0.944 2.836 -4.559
O -0.518 4.741 -2.641
O 2.858 4.724 -4.975
Ge 1.755 7.099 -5.712
Ge 0.585 2.366 -1.904
```

Record 11
Here is a geometry-optimized NaCoSiGe structure from the Open Quantum Materials Database. Energies are from GGA-PBE.

For the energy above the most stable polymorph in this dataset, the calculation gives 7.26 kcal/mol of atoms. The space group is No. 216. As for the total energy: -16.2 eV per formula unit.

The structure in extended XYZ format:
```
4
Lattice="2.088 -3.350 -1.980 -2.260 -3.584 -1.245 -0.682 -0.801 -4.289" Properties=species:S:1:pos:R:3 pbc="T T T"
Si -0.427 -3.868 -3.757
Co 0.000 0.000 0.000
Na -0.641 -5.802 -5.635
Ge -0.214 -1.934 -1.878
```

Record 12
Here is a geometry-optimized GdHoSeO2 structure from the Open Quantum Materials Database. Energies are from GGA-PBE.

The space group is No. 156. As for the total energy: -38.2 eV per formula unit.

The structure in extended XYZ format:
```
5
Lattice="3.835 0.000 0.000 -1.917 3.321 0.000 0.000 0.000 6.779" Properties=species:S:1:pos:R:3 pbc="T T T"
Ho 0.000 2.214 1.971
O 0.000 0.000 2.515
O 0.000 2.214 4.228
Gd 0.000 0.000 4.821
Se 1.917 1.107 0.024
```

Record 13
Here is a geometry-optimized SmHfMg structure from the Open Quantum Materials Database. Energies are from GGA-PBE.

For the energy above the most stable polymorph in this dataset, the calculation gives 0.00 kcal/mol of atoms. The space group is No. 216. As for the total energy: -14.0 eV per formula unit.

The structure in extended XYZ format:
```
3
Lattice="0.334 -4.141 2.767 0.646 0.343 4.937 -3.714 -1.240 3.095" Properties=species:S:1:pos:R:3 pbc="T T T"
Sm -2.051 -3.778 8.099
Hf -0.684 -1.259 2.700
Mg 0.000 0.000 0.000
```

Record 14
Here is a geometry-optimized Y3Mg3Tl2Au structure from the Open Quantum Materials Database. Energies are from GGA-PBE.

The space group is No. 189. As for the total energy: -36.4 eV per formula unit.

The structure in extended XYZ format:
```
9
Lattice="-2.706 -3.332 6.195 7.442 0.378 -1.130 0.130 3.933 2.173" Properties=species:S:1:pos:R:3 pbc="T T T"
Y -1.598 -1.967 3.657
Y 1.940 -1.210 2.075
Y 4.393 0.223 -0.667
Mg 1.815 2.055 0.821
Mg 3.687 -0.293 4.960
Mg -0.571 1.183 2.543
Tl 0.742 -0.129 4.839
Tl 4.124 1.108 2.398
Au 0.000 0.000 0.000
```

Record 15
Here is a geometry-optimized MgZrAu2 structure from the Open Quantum Materials Database. Energies are from GGA-PBE.

The space group is No. 194. As for the total energy: -18.3 eV per formula unit.

The structure in extended XYZ format:
```
8
Lattice="2.840 3.844 -0.001 -4.232 0.155 -2.215 -3.497 2.586 6.863" Properties=species:S:1:pos:R:3 pbc="T T T"
Au -3.911 2.890 2.518
Au 0.195 2.827 -0.175
Au -0.979 3.695 2.129
Au -5.085 3.758 4.822
Zr 0.000 0.000 0.000
Zr -1.749 1.293 3.432
Mg -2.749 2.031 0.239
Mg -2.140 4.554 4.408
```

Record 16
Here is a geometry-optimized LiIn2Pt structure from the Open Quantum Materials Database. Energies are from GGA-PBE.

For the energy above the most stable polymorph in this dataset, the calculation gives 0.01 kcal/mol of atoms. The space group is No. 71. As for the total energy: -15.4 eV per formula unit.

The structure in extended XYZ format:
```
24
Lattice="-4.213 0.504 1.946 1.461 -4.705 4.385 5.179 9.715 8.698" Properties=species:S:1:pos:R:3 pbc="T T T"
Pt 0.483 5.110 5.322
Pt -1.241 1.871 2.422
Pt 2.207 8.348 8.222
Pt -1.754 1.390 7.036
Pt 4.182 4.124 7.992
Pt 0.731 -2.353 2.192
In 1.709 5.552 7.870
In 2.955 3.682 5.445
In 0.718 -0.038 7.159
In 4.679 6.920 8.345
In -1.741 -0.925 2.070
In -2.982 0.948 4.490
In -2.251 -1.406 6.683
In 5.410 4.566 10.539
In 2.440 3.201 10.061
In -1.011 -3.276 4.260
In 3.686 1.328 7.638
In -0.012 2.313 4.968
Li 1.214 2.757 7.514
Li -2.483 3.742 4.843
Li 2.937 5.996 10.416
Li 3.449 6.477 5.801
Li 0.000 0.000 0.000
Li -0.509 -0.482 4.613
```

Record 17
Here is a geometry-optimized Tl2NiPdBr6 structure from the Open Quantum Materials Database. Energies are from GGA-PBE.

The space group is No. 225. As for the total energy: -30.4 eV per formula unit.

The structure in extended XYZ format:
```
10
Lattice="4.677 -3.510 -4.361 4.605 -4.918 2.796 -0.947 -7.095 -1.406" Properties=species:S:1:pos:R:3 pbc="T T T"
Tl 2.084 -3.881 -0.743
Tl 6.251 -11.642 -2.229
Br 4.391 -6.310 0.701
Br 6.779 -8.102 -1.527
Br 3.907 -9.933 -0.017
Br 3.944 -9.213 -3.672
Br 4.428 -5.590 -2.954
Br 1.556 -7.421 -1.445
Ni 0.000 0.000 0.000
Pd 4.167 -7.762 -1.486
```

Record 18
Here is a geometry-optimized Co2As structure from the Open Quantum Materials Database. Energies are from GGA-PBE.

The space group is No. 189. As for the total energy: -19.3 eV per formula unit.

The structure in extended XYZ format:
```
36
Lattice="-7.504 -8.789 2.725 11.721 -1.808 0.577 -0.004 1.060 3.406" Properties=species:S:1:pos:R:3 pbc="T T T"
Co -3.337 -6.630 2.059
Co 7.104 -2.839 0.892
Co 0.857 -2.153 0.671
Co -2.056 -4.555 3.283
Co -0.127 -4.525 1.408
Co 3.946 -4.624 3.311
Co 5.069 -1.968 2.487
Co -5.979 -7.003 2.171
Co -2.337 -2.737 0.849
Co 2.903 -7.297 2.274
Co 3.241 -3.301 1.031
Co 7.347 -0.604 2.065
Co 1.495 0.299 1.777
Co 6.916 -4.224 3.191
Co 3.650 -0.563 0.180
Co 0.630 -5.827 3.682
Co 0.177 -8.231 2.561
Co 9.339 -1.441 0.460
Co -0.961 -0.593 2.051
Co 3.676 -8.713 4.583
Co 1.570 -3.422 2.935
Co 5.591 -6.265 1.956
Co -1.868 -7.413 4.172
Co -4.708 -4.981 3.412
As 4.662 -6.796 3.988
As 8.528 -2.545 2.670
As 2.741 -1.474 2.330
As -1.096 -6.462 2.009
As -4.241 -7.181 4.097
As 1.606 -7.906 4.330
As -0.659 -2.709 2.710
As -3.766 -4.410 1.367
As 5.882 -0.907 0.290
As 5.312 -4.135 1.293
As 2.101 -5.279 1.645
As 0.000 0.000 0.000
```

Record 19
Here is a geometry-optimized La2HoO3 structure from the Open Quantum Materials Database. Energies are from GGA-PBE.

The space group is No. 164. As for the total energy: -46.5 eV per formula unit.

The structure in extended XYZ format:
```
6
Lattice="3.500 0.000 0.000 -1.750 3.031 0.000 0.000 0.000 8.882" Properties=species:S:1:pos:R:3 pbc="T T T"
O 1.750 1.010 3.273
O 0.000 0.000 0.000
O 0.000 2.020 5.609
La 1.750 1.010 7.367
La 0.000 2.020 1.515
Ho 0.000 0.000 4.441
```

Record 20
Here is a geometry-optimized CoBiWAu structure from the Open Quantum Materials Database. Energies are from GGA-PBE.

For the energy above the most stable polymorph in this dataset, the calculation gives 0.00 kcal/mol of atoms. The space group is No. 216. As for the total energy: -24.1 eV per formula unit.

The structure in extended XYZ format:
```
4
Lattice="2.878 0.657 3.559 -0.472 3.726 2.697 -1.540 -0.463 4.335" Properties=species:S:1:pos:R:3 pbc="T T T"
Au 0.433 1.960 5.295
Co 0.649 2.940 7.942
Bi 0.000 0.000 0.000
W 0.216 0.980 2.647
```